(1)
This record from Alexandria via LeMat-Bulk describes a PBEsol-optimized structure of FePt. The functional is meta-GGA SCAN.

Unit cell a=3.7388 b=3.7388 c=7.6688 alpha=90.00 beta=90.00 gamma=90.00
Closest atoms and distances in Å follow each position.
Element x y z (fractional)
Fe 0.0000 0.2500 0.3750  8 Pt 2.64-2.68, 4 Fe 2.68
Fe 0.0000 0.7500 0.6250  8 Pt 2.64-2.68, 4 Fe 2.68
Fe 0.5000 0.2500 0.1250  8 Pt 2.64-2.68, 4 Fe 2.68
Fe 0.5000 0.7500 0.8750  8 Pt 2.64-2.68, 4 Fe 2.68
Pt 0.0000 0.2500 0.8750  8 Fe 2.64-2.68, 4 Pt 2.68
Pt 0.0000 0.7500 0.1250  8 Fe 2.64-2.68, 4 Pt 2.68
Pt 0.5000 0.2500 0.6250  8 Fe 2.64-2.68, 4 Pt 2.68
Pt 0.5000 0.7500 0.3750  8 Fe 2.64-2.68, 4 Pt 2.68

As for the density of states at the Fermi level: 5.4 states/eV/cell. The calculation puts the energy at -44.5293 eV/atom. The calculation puts the formation energy at -0.3680 eV/atom. Its crystal system is tetragonal.

(2)
This record from Alexandria via LeMat-Bulk describes a PBEsol-optimized structure of Fe2Pt. The functional is meta-GGA SCAN.

Unit cell a=5.2288 b=3.6999 c=7.9001 alpha=90.00 beta=90.00 gamma=90.00
Closest atoms and distances in Å follow each position.
Element x y z (fractional)
Fe 0.1200 0.2500 0.0778  7 Fe 2.55-2.69, 5 Pt 2.58-2.65
Fe 0.1351 0.2500 0.7420  5 Pt 2.59-2.63, 7 Fe 2.60-2.69
Fe 0.3649 0.7500 0.2420  5 Pt 2.59-2.63, 7 Fe 2.60-2.69
Fe 0.3800 0.7500 0.5778  7 Fe 2.55-2.69, 5 Pt 2.58-2.65
Fe 0.6200 0.2500 0.4222  7 Fe 2.55-2.69, 5 Pt 2.58-2.65
Fe 0.6351 0.2500 0.7580  5 Pt 2.59-2.63, 7 Fe 2.60-2.69
Fe 0.8649 0.7500 0.2580  5 Pt 2.59-2.63, 7 Fe 2.60-2.69
Fe 0.8800 0.7500 0.9222  7 Fe 2.55-2.69, 5 Pt 2.58-2.65
Pt 0.1271 0.2500 0.4087  10 Fe 2.58-2.65, 2 Pt 2.70
Pt 0.3729 0.7500 0.9087  10 Fe 2.58-2.65, 2 Pt 2.70
Pt 0.6271 0.2500 0.0913  10 Fe 2.58-2.65, 2 Pt 2.70
Pt 0.8729 0.7500 0.5913  10 Fe 2.58-2.65, 2 Pt 2.70

As for the density of states at the Fermi level: 7.4 states/eV/cell. The calculation puts the energy at -35.7944 eV/atom. The calculation puts the formation energy at -0.3103 eV/atom. Its crystal system is orthorhombic.